[1]
A plane-wave DFT calculation with PBE-GGA was carried out for an optimized crystal structure of TaAlSb.

Values from the calculation:
Size of the total moment ... 0.00 μB/cell

Unit cell a=3.173 b=3.173 c=6.843 alpha=90.00 beta=90.00 gamma=120.00
Sites, in units of the cell vectors:
1 Sb 0.667 0.333 0.343
2 Ta 0.333 0.667 0.676
3 Al 0.000 0.000 0.981

---

[2]
A plane-wave DFT calculation with PBE-GGA was carried out for an optimized crystal structure of TaAlSb.

Values from the calculation:
Size of the total moment ... 0.00 μB/cell

Unit cell a=4.863 b=4.863 c=2.933 alpha=90.00 beta=90.00 gamma=120.00
Sites, in units of the cell vectors:
1 Sb 0.667 0.333 0.500
2 Ta 0.333 0.667 0.500
3 Al 0.000 0.000 0.000

---

Quick rundown of raw formation energy, same order as above: 0.1160; 0.2779 eV per atom
Quick rundown of offset from the most stable computed form, same order as above: 243; 404 meV per atom